Crystalline Mg3Pd at its relaxed geometry, computed with GGA-PBEsol.

Results
electronic total energy: -3.1665 eV per atom
E_form: -0.389 eV per atom
SG: P6_3/mmc

Geometry as POSCAR:
```
Mg3Pd
1.0
-3.7917 -2.2793 -1.3548
3.3664 -2.2404 2.2486
-3.6476 1.7725 7.2270
Mg Pd
6 2
direct
0.6667 0.3333 0.4237
0.3333 0.6667 0.9237
0.6667 0.3333 0.0763
0.0000 0.0000 0.7500
0.0000 0.0000 0.2500
0.3333 0.6667 0.5763
0.6667 0.3333 0.7500
0.3333 0.6667 0.2500
```


Crystalline Dy2Al6Si4Pt at its relaxed geometry, computed with GGA-PBEsol.

Results
electronic total energy: -5.4867 eV per atom
formation energy from raw total energies: -0.528 eV per atom
SG: R-3m

Geometry as POSCAR:
```
Dy2Al6Si4Pt
1.0
-2.2814 2.1908 2.6601
-4.1109 -0.4242 0.0342
-0.7718 -11.6718 12.1611
Si Al Pt Dy
4 6 1 2
direct
0.2654 0.2654 0.2039
0.1346 0.1346 0.5962
0.8654 0.8654 0.4038
0.7346 0.7346 0.7961
0.9494 0.9494 0.1517
0.0506 0.0506 0.8483
0.3176 0.3176 0.0473
0.8148 0.8148 0.5555
0.1852 0.1852 0.4445
0.6824 0.6824 0.9527
0.0000 0.0000 0.0000
0.5659 0.5659 0.3023
0.4341 0.4341 0.6977
```


Crystalline SrCa2Au2 at its relaxed geometry, computed with GGA-PBEsol.

Results
electronic total energy: -3.3693 eV per atom
offset from the most stable computed form: 48 meV per atom
E_form: -0.578 eV per atom
SG: I4/mmm

Geometry as POSCAR:
```
SrCa2Au2
1.0
4.7036 0.0000 0.0000
0.0000 4.7036 0.0000
-2.3518 -2.3518 6.4648
Sr Ca Au
1 2 2
direct
0.0000 0.0000 0.0000
0.2500 0.7500 0.5000
0.7500 0.2500 0.5000
0.3937 0.3937 0.7874
0.6063 0.6063 0.2126
```


Crystalline SrAuCl2 at its relaxed geometry, computed with GGA-PBEsol.

Results
electronic total energy: -3.6140 eV per atom
offset from the most stable computed form: 0 meV per atom
formation energy from raw total energies: -1.169 eV per atom
SG: I-4m2

Geometry as POSCAR:
```
SrAuCl2
1.0
4.1352 0.0000 0.0000
0.0000 4.1352 0.0000
-2.0676 -2.0676 5.2235
Sr Au Cl
1 1 2
direct
0.5000 0.5000 0.0000
0.2500 0.7500 0.5000
0.0000 0.0000 0.0000
0.7500 0.2500 0.5000
```


Among the records above, which one has the lowest electronic total energy? Dy2Al6Si4Pt